(1)
A relaxed LaTl2Hg2 crystal. Source: Alexandria via LeMat-Bulk, functional PBE-GGA.

Cell: 8.786 8.786 3.709 Å, 90.00 90.00 90.00°
Space group P4/mbm (No. 127)
Asymmetric unit:
La (0.000, 0.000, 0.000) [2 per cell]
Tl (0.130, 0.370, 0.000) [4 per cell]
Hg (0.169, 0.669, 0.500) [4 per cell]

Calculated values
- Density of states at the Fermi level: 0.50 states/eV/atom
- E_form: -0.12 eV/atom

(2)
A relaxed La4TlHg2 crystal. Source: Alexandria via LeMat-Bulk, functional PBE-GGA.

Cell: 7.786 7.786 7.752 Å, 90.00 90.00 90.00°
Space group I4/mmm (No. 139)
Asymmetric unit:
La (0.250, 0.250, 0.250) [8 per cell]
Tl (0.000, 0.000, 0.000) [2 per cell]
Hg (0.000, 0.500, 0.000) [4 per cell]

Calculated values
- Density of states at the Fermi level: 1.18 states/eV/atom
- E_form: -0.34 eV/atom

(3)
A relaxed La2Tl3Hg2 crystal. Source: Alexandria via LeMat-Bulk, functional PBE-GGA.

Cell: 11.441 5.066 7.022 Å, 90.00 94.31 90.00°
Space group C2/m (No. 12)
Asymmetric unit:
La (0.120, 0.000, 0.233) [4 per cell]
Tl (0.000, 0.500, 0.500) [2 per cell]
Tl (0.186, 0.000, 0.711) [4 per cell]
Hg (0.113, 0.500, 0.924) [4 per cell]

Calculated values
- Density of states at the Fermi level: 0.63 states/eV/atom
- E_form: -0.34 eV/atom

(4)
A relaxed LaTlHg crystal. Source: Alexandria via LeMat-Bulk, functional PBE-GGA.

Cell: 5.4392 5.4392 6.7635 Å, 90.00 90.00 120.00°
Space group P3m1 (No. 156)
Asymmetric unit:
La (0.0000, 0.0000, 0.0000) [1 per cell]
La (0.3333, 0.6667, 0.4967) [1 per cell]
Tl (0.3333, 0.6667, 0.0026) [1 per cell]
Tl (0.6667, 0.3333, 0.7358) [1 per cell]
Hg (0.0000, 0.0000, 0.4987) [1 per cell]
Hg (0.6667, 0.3333, 0.2438) [1 per cell]

Calculated values
- Density of states at the Fermi level: 0.54 states/eV/atom
- E_form: -0.41 eV/atom

(5)
A relaxed La2TlHg crystal. Source: Alexandria via LeMat-Bulk, functional PBE-GGA.

Cell: 3.862 4.999 6.724 Å, 90.00 90.00 90.00°
Space group Pmm2 (No. 25)
Asymmetric unit:
La (0.000, 0.000, 0.000) [1 per cell]
La (0.500, 0.500, 0.349) [1 per cell]
Tl (0.500, 0.500, 0.831) [1 per cell]
Hg (0.000, 0.000, 0.512) [1 per cell]

Calculated values
- Density of states at the Fermi level: 1.05 states/eV/atom
- E_form: -0.27 eV/atom

(6)
A relaxed La14TlHg crystal. Source: Alexandria via LeMat-Bulk, functional PBE-GGA.

Cell: 7.658 11.992 12.140 Å, 90.00 90.00 90.00°
Space group Cmmm (No. 65)
Asymmetric unit:
La (0.000, 0.000, 0.000) [2 per cell]
La (0.000, 0.234, 0.251) [8 per cell]
La (0.000, 0.500, 0.000) [2 per cell]
La (0.236, 0.500, 0.274) [8 per cell]
La (0.250, 0.250, 0.000) [4 per cell]
La (0.250, 0.250, 0.500) [4 per cell]
Tl (0.000, 0.000, 0.500) [2 per cell]
Hg (0.000, 0.500, 0.500) [2 per cell]

Calculated values
- Density of states at the Fermi level: 1.55 states/eV/atom
- E_form: -0.06 eV/atom

(7)
A relaxed LaTlHg2 crystal. Source: Alexandria via LeMat-Bulk, functional PBE-GGA.

Cell: 5.439 5.448 7.350 Å, 90.00 90.00 90.00°
Space group Imm2 (No. 44)
Asymmetric unit:
La (0.000, 0.000, 0.000) [2 per cell]
Tl (0.000, 0.500, 0.249) [2 per cell]
Hg (0.000, 0.000, 0.499) [2 per cell]
Hg (0.000, 0.500, 0.750) [2 per cell]

Calculated values
- Density of states at the Fermi level: 0.55 states/eV/atom
- E_form: -0.34 eV/atom

(8)
A relaxed La2Tl3Hg3 crystal. Source: Alexandria via LeMat-Bulk, functional PBE-GGA.

Cell: 5.4196 5.4196 26.3427 Å, 90.00 90.00 120.00°
Space group R3m (No. 160, hexagonal axes)
Asymmetric unit:
La (0.0000, 0.0000, 0.0000) [3 per cell]
La (0.0000, 0.0000, 0.4929) [3 per cell]
Tl (0.0000, 0.0000, 0.2484) [3 per cell]
Tl (0.0000, 0.0000, 0.7446) [3 per cell]
Tl (0.0000, 0.0000, 0.8719) [3 per cell]
Hg (0.0000, 0.0000, 0.1236) [3 per cell]
Hg (0.0000, 0.0000, 0.3704) [3 per cell]
Hg (0.0000, 0.0000, 0.6199) [3 per cell]

Calculated values
- Density of states at the Fermi level: 0.52 states/eV/atom
- E_form: -0.36 eV/atom

(9)
A relaxed LaTl2Hg2 crystal. Source: Alexandria via LeMat-Bulk, functional PBE-GGA.

Cell: 8.375 8.375 4.168 Å, 90.00 90.00 90.00°
Space group P4/mbm (No. 127)
Asymmetric unit:
La (0.000, 0.000, 0.000) [2 per cell]
Tl (0.181, 0.319, 0.500) [4 per cell]
Hg (0.124, 0.624, 0.000) [4 per cell]

Calculated values
- Density of states at the Fermi level: 0.65 states/eV/atom
- E_form: -0.17 eV/atom

(10)
A relaxed LaTl2Hg crystal. Source: Alexandria via LeMat-Bulk, functional PBE-GGA.

Cell: 3.5805 3.5805 32.0769 Å, 90.00 90.00 120.00°
Space group R-3m (No. 166, hexagonal axes)
Asymmetric unit:
La (0.0000, 0.0000, 0.0000) [3 per cell]
Tl (0.0000, 0.0000, 0.2448) [6 per cell]
Hg (0.0000, 0.0000, 0.5000) [3 per cell]

Calculated values
- Density of states at the Fermi level: 0.91 states/eV/atom
- E_form: -0.06 eV/atom

(11)
A relaxed La2TlHg6 crystal. Source: Alexandria via LeMat-Bulk, functional PBE-GGA.

Cell: 15.405 8.896 3.575 Å, 90.00 90.15 90.00°
Space group C2/m (No. 12)
Asymmetric unit:
La (0.167, 0.000, 0.000) [4 per cell]
Tl (0.000, 0.500, 0.000) [2 per cell]
Hg (0.000, 0.169, 0.500) [4 per cell]
Hg (0.165, 0.335, 0.499) [8 per cell]

Calculated values
- Density of states at the Fermi level: 0.74 states/eV/atom
- E_form: -0.31 eV/atom

(12)
A relaxed LaTl2Hg5 crystal. Source: Alexandria via LeMat-Bulk, functional PBE-GGA.

Cell: 4.850 4.850 18.690 Å, 90.00 90.00 90.00°
Space group I4/mmm (No. 139)
Asymmetric unit:
La (0.000, 0.000, 0.000) [2 per cell]
Tl (0.000, 0.000, 0.247) [4 per cell]
Hg (0.000, 0.000, 0.500) [2 per cell]
Hg (0.000, 0.500, 0.123) [8 per cell]

Calculated values
- Density of states at the Fermi level: 0.62 states/eV/atom
- E_form: -0.23 eV/atom

Q: What is the E_form in the seventh record?
A: -0.34 eV/atom

Q: The lowest density of states at the Fermi level belongs to which entry?
A: number 1

Copy entry 5 word for word.
A relaxed La2TlHg crystal. Source: Alexandria via LeMat-Bulk, functional PBE-GGA.

Cell: 3.862 4.999 6.724 Å, 90.00 90.00 90.00°
Space group Pmm2 (No. 25)
Asymmetric unit:
La (0.000, 0.000, 0.000) [1 per cell]
La (0.500, 0.500, 0.349) [1 per cell]
Tl (0.500, 0.500, 0.831) [1 per cell]
Hg (0.000, 0.000, 0.512) [1 per cell]

Calculated values
- Density of states at the Fermi level: 1.05 states/eV/atom
- E_form: -0.27 eV/atom

Copy entry 10 word for word.
A relaxed LaTl2Hg crystal. Source: Alexandria via LeMat-Bulk, functional PBE-GGA.

Cell: 3.5805 3.5805 32.0769 Å, 90.00 90.00 120.00°
Space group R-3m (No. 166, hexagonal axes)
Asymmetric unit:
La (0.0000, 0.0000, 0.0000) [3 per cell]
Tl (0.0000, 0.0000, 0.2448) [6 per cell]
Hg (0.0000, 0.0000, 0.5000) [3 per cell]

Calculated values
- Density of states at the Fermi level: 0.91 states/eV/atom
- E_form: -0.06 eV/atom